# Ba3TcP | the Alexandria database | SCAN | single point on PBEsol structure
data_Ba3TcP
_chemical_formula_sum 'Ba3 Tc1 P1'
_cell_length_a 6.074
_cell_length_b 6.074
_cell_length_c 6.074
_cell_angle_alpha 90.00
_cell_angle_beta 90.00
_cell_angle_gamma 90.00
_symmetry_space_group_name_H-M 'P m -3 m'
_symmetry_Int_Tables_number 221
_symmetry_space_group_name_Hall '-P 4 2 3'
loop_
_atom_site_label
_atom_site_type_symbol
_atom_site_fract_x
_atom_site_fract_y
_atom_site_fract_z
Ba1 Ba 0.000 0.000 0.500
Tc1 Tc 0.500 0.500 0.500
P1 P 0.000 0.000 0.000
# ΔE_f = 134 kJ/mol of formula units
# Energy = -162.718 eV per cell
# Fermi-level density of states = 4.6 states/eV/f.u.
# Density = 4.008 g/cm³